{
  "formula": "CdTcP2",
  "functional": "GGA-PBEsol",
  "state": "relaxed",
  "e_form_ev_per_atom": -0.073,
  "e_tot_ry_per_atom": -0.4472,
  "cell": [[-1.930, -1.611, -1.599], [1.144, -2.748, 1.387], [-4.156, 2.761, 5.011]],
  "species": ["P", "P", "Tc", "Cd"],
  "fractional_positions": [[0.821, 0.321, 0.642], [0.031, 0.031, 0.062], [0.457, 0.457, 0.915], [0.191, 0.691, 0.382]]
}